# 1
Compound: Tb2Pm5TmTh
Source: Alexandria
Functional: GGA-PBE
Structure: optimized geometry

a = 5.6238 Å, b = 10.6482 Å, c = 10.5900 Å
α = 90.00°, β = 90.00°, γ = 105.31°
Closest atoms and distances in Å follow each position.
Positions (direct):
Pm: 0.6165 0.2331 0.5235  6 Pm 3.59-3.87, 4 Tb 3.62-3.63, 1 Th 3.79
Pm: 0.9868 0.9736 0.5167  2 Tm 3.33, 4 Tb 3.44-3.72, 2 Pm 3.72
Pm: 0.4837 0.9674 0.7459  2 Tm 3.26-3.41, 2 Tb 3.52, 2 Pm 3.59-3.60
Pm: 0.5163 0.0326 0.2459  2 Tm 3.26-3.41, 2 Tb 3.52, 2 Pm 3.59-3.60
Pm: 0.2928 0.5857 0.7049  2 Pm 3.35, 1 Tm 3.43, 2 Th 3.48, 3 Tb 3.56-3.72
Pm: 0.3835 0.7669 0.0235  6 Pm 3.59-3.87, 4 Tb 3.62-3.63, 1 Th 3.79
Pm: 0.7072 0.4143 0.2049  2 Pm 3.35, 1 Tm 3.43, 2 Th 3.48, 3 Tb 3.56-3.72
Pm: 0.7241 0.4482 0.8128  1 Tm 3.08, 1 Tb 3.31, 2 Pm 3.35
Pm: 0.0132 0.0264 0.0167  2 Tm 3.33, 4 Tb 3.44-3.72, 2 Pm 3.72
Pm: 0.2759 0.5518 0.3128  1 Tm 3.08, 1 Tb 3.31, 2 Pm 3.35
Th: 0.8011 0.6022 0.5113  2 Tb 3.39-3.58, 7 Pm 3.48-3.79, 2 Tm 3.55
Th: 0.1989 0.3978 0.0113  2 Tb 3.39-3.58, 7 Pm 3.48-3.79, 2 Tm 3.55
Tb: 0.1128 0.2255 0.7379  1 Th 3.39, 7 Pm 3.49-3.72, 2 Tm 3.71
Tb: 0.1146 0.2293 0.3074  8 Pm 3.31-3.63, 1 Th 3.58
Tb: 0.8872 0.7745 0.2379  1 Th 3.39, 7 Pm 3.49-3.72, 2 Tm 3.71
Tb: 0.8854 0.7707 0.8074  8 Pm 3.31-3.63, 1 Th 3.58
Tm: 0.5959 0.1919 0.9636  6 Pm 3.08-3.43
Tm: 0.4041 0.8081 0.4636  6 Pm 3.08-3.43

Total moment = 0.000 μB/atom
Energy of formation = 151 meV/atom
DOS at the Fermi energy = 1.572 states/eV per atom
Energy = -87.1 eV/cell

# 2
Compound: Tb6PmTm3Th2
Source: Alexandria
Functional: GGA-PBE
Structure: optimized geometry

a = 6.1637 Å, b = 6.1637 Å, c = 11.7681 Å
α = 95.02°, β = 95.02°, γ = 119.93°
Closest atoms and distances in Å follow each position.
Positions (direct):
Tm: 0.5000 0.5000 0.5000  6 Tb 3.54-3.55, 6 Tm 3.56
Tm: 0.8335 0.1665 0.5000  6 Tb 3.53-3.56, 6 Tm 3.55-3.56
Tm: 0.1665 0.8335 0.5000  6 Tb 3.53-3.56, 6 Tm 3.55-3.56
Tb: 0.9155 0.5781 0.7498  3 Tm 3.53-3.56, 6 Tb 3.54-3.61, 2 Th 3.54-3.55, 1 Pm 3.57
Tb: 0.4219 0.0845 0.2502  3 Tm 3.53-3.56, 6 Tb 3.54-3.61, 2 Th 3.54-3.55, 1 Pm 3.57
Tb: 0.7468 0.7468 0.2504  6 Tb 3.54-3.61, 3 Tm 3.54-3.55, 2 Th 3.55, 1 Pm 3.57
Tb: 0.5781 0.9155 0.7498  3 Tm 3.53-3.56, 6 Tb 3.54-3.61, 2 Th 3.54-3.55, 1 Pm 3.57
Tb: 0.2532 0.2532 0.7496  6 Tb 3.54-3.61, 3 Tm 3.54-3.55, 2 Th 3.55, 1 Pm 3.57
Tb: 0.0845 0.4219 0.2502  3 Tm 3.53-3.56, 6 Tb 3.54-3.61, 2 Th 3.54-3.55, 1 Pm 3.57
Pm: 0.0000 0.0000 0.0000  6 Th 3.56, 6 Tb 3.57
Th: 0.6667 0.3333 0.0000  6 Tb 3.54-3.55, 3 Pm 3.56, 3 Th 3.56
Th: 0.3333 0.6667 0.0000  6 Tb 3.54-3.55, 3 Pm 3.56, 3 Th 3.56

Total moment = 0.000 μB/atom
Energy of formation = 35 meV/atom
DOS at the Fermi energy = 1.446 states/eV per atom
Energy = -60.4 eV/cell

# 3
Compound: Tb2Pm6Tm3Th
Source: Alexandria
Functional: GGA-PBE
Structure: optimized geometry

a = 6.2233 Å, b = 6.2233 Å, c = 11.8689 Å
α = 95.02°, β = 95.02°, γ = 119.96°
Closest atoms and distances in Å follow each position.
Positions (direct):
Tb: 0.3334 0.6666 0.0000  3 Tb 3.59, 3 Th 3.59, 6 Pm 3.60
Tb: 0.6666 0.3334 0.0000  3 Tb 3.59, 3 Th 3.59, 6 Pm 3.60
Tm: 0.8331 0.1669 0.5000  6 Pm 3.57-3.58, 6 Tm 3.59-3.60
Tm: 0.1669 0.8331 0.5000  6 Pm 3.57-3.58, 6 Tm 3.59-3.60
Tm: 0.5000 0.5000 0.5000  6 Pm 3.56-3.59, 6 Tm 3.59-3.60
Pm: 0.9158 0.5855 0.7487  6 Pm 3.56-3.61, 3 Tm 3.56-3.58, 1 Th 3.58, 2 Tb 3.60
Pm: 0.7543 0.7543 0.2511  6 Pm 3.56-3.61, 3 Tm 3.57-3.59, 1 Th 3.58, 2 Tb 3.60
Pm: 0.2457 0.2457 0.7489  6 Pm 3.56-3.61, 3 Tm 3.57-3.59, 1 Th 3.58, 2 Tb 3.60
Pm: 0.0842 0.4145 0.2513  6 Pm 3.56-3.61, 3 Tm 3.56-3.58, 1 Th 3.58, 2 Tb 3.60
Pm: 0.4145 0.0842 0.2513  6 Pm 3.56-3.61, 3 Tm 3.56-3.58, 1 Th 3.58, 2 Tb 3.60
Pm: 0.5855 0.9158 0.7487  6 Pm 3.56-3.61, 3 Tm 3.56-3.58, 1 Th 3.58, 2 Tb 3.60
Th: 0.0000 0.0000 0.0000  6 Pm 3.58, 6 Tb 3.59

Total moment = 0.000 μB/atom
Energy of formation = 33 meV/atom
DOS at the Fermi energy = 1.308 states/eV per atom
Energy = -58.2 eV/cell

# 4
Compound: Tb3PmTmTh
Source: Alexandria
Functional: GGA-PBE
Structure: optimized geometry

a = 5.4374 Å, b = 11.2820 Å, c = 6.7960 Å
α = 81.20°, β = 90.00°, γ = 103.94°
Closest atoms and distances in Å follow each position.
Positions (direct):
Pm: 0.6315 0.2631 0.0411  1 Tm 3.19, 4 Tb 3.31-3.43, 2 Th 3.51
Pm: 0.3685 0.7369 0.9589  1 Tm 3.19, 4 Tb 3.31-3.43, 2 Th 3.51
Tb: 0.5272 0.0545 0.7240  1 Tm 3.31, 2 Pm 3.38-3.59, 1 Tb 3.44, 2 Th 3.46
Tb: 0.2241 0.4481 0.1924  3 Pm 3.31-3.63, 1 Th 3.42, 3 Tm 3.43-3.49, 1 Tb 3.56
Tb: 0.4728 0.9455 0.2760  1 Tm 3.31, 2 Pm 3.38-3.59, 1 Tb 3.44, 2 Th 3.46
Tb: 0.1648 0.3297 0.7342  2 Tm 3.23, 2 Pm 3.43, 1 Tb 3.56
Tb: 0.8352 0.6703 0.2658  2 Tm 3.23, 2 Pm 3.43, 1 Tb 3.56
Tb: 0.7759 0.5519 0.8076  3 Pm 3.31-3.63, 1 Th 3.42, 3 Tm 3.43-3.49, 1 Tb 3.56
Th: 0.0670 0.1339 0.3282  6 Tb 3.42-3.83, 1 Th 3.45, 2 Pm 3.51, 2 Tm 3.77
Th: 0.9330 0.8661 0.6718  6 Tb 3.42-3.83, 1 Th 3.45, 2 Pm 3.51, 2 Tm 3.77
Tm: 0.3301 0.6601 0.5250  1 Pm 3.19, 6 Tb 3.23-3.49
Tm: 0.6699 0.3399 0.4750  1 Pm 3.19, 6 Tb 3.23-3.49

Total moment = 0.000 μB/atom
Energy of formation = 195 meV/atom
DOS at the Fermi energy = 1.274 states/eV per atom
Energy = -58.7 eV/cell

# 5
Compound: Tb6Pm3Y2Th
Source: Alexandria
Functional: GGA-PBE
Structure: optimized geometry

a = 6.2146 Å, b = 6.2146 Å, c = 11.8925 Å
α = 95.00°, β = 95.00°, γ = 119.96°
Closest atoms and distances in Å follow each position.
Positions (direct):
Tb: 0.0831 0.4125 0.2476  6 Tb 3.55-3.61, 1 Th 3.55, 2 Y 3.57, 3 Pm 3.60-3.62
Tb: 0.9169 0.5875 0.7524  6 Tb 3.55-3.61, 1 Th 3.55, 2 Y 3.57, 3 Pm 3.60-3.62
Tb: 0.4125 0.0831 0.2476  6 Tb 3.55-3.61, 1 Th 3.55, 2 Y 3.57, 3 Pm 3.60-3.62
Tb: 0.7537 0.7537 0.2476  6 Tb 3.55-3.61, 1 Th 3.55, 2 Y 3.57, 3 Pm 3.60-3.63
Tb: 0.2463 0.2463 0.7524  6 Tb 3.55-3.61, 1 Th 3.55, 2 Y 3.57, 3 Pm 3.60-3.63
Tb: 0.5875 0.9169 0.7524  6 Tb 3.55-3.61, 1 Th 3.55, 2 Y 3.57, 3 Pm 3.60-3.62
Pm: 0.8330 0.1670 0.5000  6 Pm 3.58-3.60, 6 Tb 3.60-3.62
Pm: 0.5000 0.5000 0.5000  6 Pm 3.58-3.59, 6 Tb 3.60-3.63
Pm: 0.1670 0.8330 0.5000  6 Pm 3.58-3.60, 6 Tb 3.60-3.62
Th: 0.0000 0.0000 0.0000  6 Tb 3.55, 6 Y 3.59
Y: 0.3333 0.6667 0.0000  6 Tb 3.57, 3 Th 3.59, 3 Y 3.59
Y: 0.6667 0.3333 0.0000  6 Tb 3.57, 3 Th 3.59, 3 Y 3.59

Total moment = 0.000 μB/atom
Energy of formation = 22 meV/atom
DOS at the Fermi energy = 1.323 states/eV per atom
Energy = -62.1 eV/cell

# 6
Compound: TbPmY2Th
Source: Alexandria
Functional: GGA-PBE
Structure: optimized geometry

a = 6.4949 Å, b = 8.5619 Å, c = 6.2939 Å
α = 97.30°, β = 90.00°, γ = 90.00°
Closest atoms and distances in Å follow each position.
Positions (direct):
Y: 0.3086 0.3096 0.2107  1 Th 3.14, 1 Y 3.23, 1 Tb 3.45
Y: 0.6914 0.6904 0.7893  1 Th 3.14, 1 Y 3.23, 1 Tb 3.45
Y: 0.3086 0.6904 0.2893  1 Th 3.14, 1 Y 3.23, 1 Tb 3.45
Y: 0.6914 0.3096 0.7107  1 Th 3.14, 1 Y 3.23, 1 Tb 3.45
Th: 0.4421 0.0000 0.7500  2 Y 3.14, 2 Th 3.24, 2 Tb 3.27
Th: 0.5579 0.0000 0.2500  2 Y 3.14, 2 Th 3.24, 2 Tb 3.27
Tb: 0.0000 0.0000 0.5000  2 Tb 3.15, 2 Th 3.27, 2 Y 3.45
Tb: 0.0000 0.0000 0.0000  2 Tb 3.15, 2 Th 3.27, 2 Y 3.45
Pm: 0.1761 0.5000 0.7500  8 Y 3.54-3.72, 2 Pm 3.89
Pm: 0.8239 0.5000 0.2500  8 Y 3.54-3.72, 2 Pm 3.89

Total moment = 0.000 μB/atom
Energy of formation = 319 meV/atom
DOS at the Fermi energy = 1.345 states/eV per atom
Energy = -56.3 eV/cell

# 7
Compound: TbPm2Y6Th
Source: Alexandria
Functional: GGA-PBE
Structure: optimized geometry

a = 9.8323 Å, b = 8.7556 Å, c = 8.7556 Å
α = 117.05°, β = 95.12°, γ = 95.12°
Closest atoms and distances in Å follow each position.
Positions (direct):
Y: 0.1838 0.5766 0.0197  3 Y 3.30-3.67, 1 Pm 3.43, 1 Tb 3.47, 1 Th 3.54
Y: 0.6177 0.4923 0.7003  3 Pm 3.29-3.48, 4 Y 3.30-3.56, 2 Tb 3.42-3.57
Y: 0.5568 0.7438 0.1158  8 Y 3.43-3.82, 1 Pm 3.53, 1 Th 3.61, 1 Tb 3.78
Y: 0.3823 0.5077 0.2997  3 Pm 3.29-3.48, 4 Y 3.30-3.56, 2 Tb 3.42-3.57
Y: 0.4432 0.2562 0.8842  8 Y 3.43-3.82, 1 Pm 3.53, 1 Th 3.61, 1 Tb 3.78
Y: 0.1177 0.7003 0.4923  3 Pm 3.29-3.48, 4 Y 3.30-3.56, 2 Tb 3.42-3.57
Y: 0.8162 0.4234 0.9803  3 Y 3.30-3.67, 1 Pm 3.43, 1 Tb 3.47, 1 Th 3.54
Y: 0.8823 0.2997 0.5077  3 Pm 3.29-3.48, 4 Y 3.30-3.56, 2 Tb 3.42-3.57
Y: 0.0568 0.1158 0.7438  8 Y 3.43-3.82, 1 Pm 3.53, 1 Th 3.61, 1 Tb 3.78
Y: 0.9432 0.8842 0.2562  8 Y 3.43-3.82, 1 Pm 3.53, 1 Th 3.61, 1 Tb 3.78
Y: 0.6838 0.0197 0.5766  3 Y 3.30-3.67, 1 Pm 3.43, 1 Tb 3.47, 1 Th 3.54
Y: 0.3162 0.9803 0.4234  3 Y 3.30-3.67, 1 Pm 3.43, 1 Tb 3.47, 1 Th 3.54
Tb: 0.7500 0.5952 0.4048  8 Y 3.42-3.78, 2 Pm 3.54
Tb: 0.2500 0.4048 0.5952  8 Y 3.42-3.78, 2 Pm 3.54
Pm: 0.5472 0.1929 0.2873  5 Y 3.29-3.53, 2 Th 3.36-3.37, 1 Tb 3.54
Pm: 0.9528 0.7127 0.8071  5 Y 3.29-3.53, 2 Th 3.36-3.37, 1 Tb 3.54
Pm: 0.4528 0.8071 0.7127  5 Y 3.29-3.53, 2 Th 3.36-3.37, 1 Tb 3.54
Pm: 0.0472 0.2873 0.1929  5 Y 3.29-3.53, 2 Th 3.36-3.37, 1 Tb 3.54
Th: 0.2500 0.9807 0.0193  4 Pm 3.36-3.37, 4 Y 3.54-3.61
Th: 0.7500 0.0193 0.9807  4 Pm 3.36-3.37, 4 Y 3.54-3.61

Total moment = 0.000 μB/atom
Energy of formation = 148 meV/atom
DOS at the Fermi energy = 1.593 states/eV per atom
Energy = -117.7 eV/cell

# 8
Compound: TbPm2Y6Th3
Source: Alexandria
Functional: GGA-PBE
Structure: optimized geometry

a = 6.2263 Å, b = 6.2263 Å, c = 11.7877 Å
α = 95.06°, β = 95.06°, γ = 120.00°
Closest atoms and distances in Å follow each position.
Positions (direct):
Y: 0.5818 0.9150 0.7446  3 Th 3.51-3.52, 6 Y 3.59-3.60, 1 Tb 3.62, 2 Pm 3.62
Y: 0.0850 0.4182 0.2554  3 Th 3.51-3.52, 6 Y 3.59-3.60, 1 Tb 3.62, 2 Pm 3.62
Y: 0.4182 0.0850 0.2554  3 Th 3.51-3.52, 6 Y 3.59-3.60, 1 Tb 3.62, 2 Pm 3.62
Y: 0.7519 0.7519 0.2556  3 Th 3.52, 6 Y 3.59-3.60, 2 Pm 3.62, 1 Tb 3.62
Y: 0.9150 0.5818 0.7446  3 Th 3.51-3.52, 6 Y 3.59-3.60, 1 Tb 3.62, 2 Pm 3.62
Y: 0.2481 0.2481 0.7444  3 Th 3.52, 6 Y 3.59-3.60, 2 Pm 3.62, 1 Tb 3.62
Th: 0.1669 0.8331 0.5000  6 Y 3.51-3.52, 6 Th 3.59-3.60
Th: 0.5000 0.5000 0.5000  6 Y 3.52, 6 Th 3.59-3.60
Th: 0.8331 0.1669 0.5000  6 Y 3.51-3.52, 6 Th 3.59-3.60
Tb: 0.0000 0.0000 0.0000  6 Pm 3.59-3.60, 6 Y 3.62
Pm: 0.6665 0.3335 0.0000  3 Pm 3.59-3.60, 3 Tb 3.59-3.60, 6 Y 3.62
Pm: 0.3335 0.6665 0.0000  3 Pm 3.59-3.60, 3 Tb 3.59-3.60, 6 Y 3.62

Total moment = 0.000 μB/atom
Energy of formation = 20 meV/atom
DOS at the Fermi energy = 1.445 states/eV per atom
Energy = -74.9 eV/cell

Q: Which value of DOS at the Fermi energy does entry 7 give?
A: 1.593 states/eV per atom

Q: Look up the energy of formation of the sixth one.
A: 319 meV/atom